Below is an optimized crystal structure of KTl2Si, with properties calculated at the PBE level.

a b c (Å): 4.552 4.552 7.670
angles (deg): 72.73 72.73 60.08
Positions (direct):
1 K 0.750 0.750 0.750
2 Si 0.250 0.250 0.250
3 Tl 0.973 0.973 0.080
4 Tl 0.527 0.527 0.420

Results
* electronic total energy: -2.70 eV per atom
* volume: 129.4 Å³/f.u.
* formation energy (no corrections): 0.118 eV per atom
* E above lowest polymorph: 0.000 eV per atom
* symmetry: R-3m, No. 166

Below is an optimized crystal structure of ZnMoPt2, with properties calculated at the PBE level.

a b c (Å): 4.756 4.756 4.908
angles (deg): 81.61 81.61 33.88
Positions (direct):
1 Mo 0.250 0.250 0.250
2 Pt 0.000 0.000 0.003
3 Pt 0.500 0.500 0.497
4 Zn 0.750 0.750 0.750

Results
* electronic total energy: -6.23 eV per atom
* volume: 61.2 Å³/f.u.
* symmetry: C2/m, No. 12
* energy relative to the elements: -184 meV/atom

Below is an optimized crystal structure of Th8Te4Os3Ru, with properties calculated at the PBE level.

a b c (Å): 8.383 9.085 8.383
angles (deg): 117.47 120.00 90.00
Positions (direct):
1 Th 0.233 0.698 0.965
2 Th 0.233 0.698 0.466
3 Th 0.267 0.302 0.534
4 Th 0.732 0.698 0.965
5 Th 0.268 0.302 0.035
6 Th 0.733 0.698 0.466
7 Th 0.767 0.302 0.534
8 Th 0.767 0.302 0.035
9 Te 0.500 0.000 0.000
10 Te 0.500 0.000 0.500
11 Te 0.000 0.000 0.000
12 Te 0.000 0.000 0.500
13 Os 0.500 0.500 0.000
14 Os 0.500 0.500 0.500
15 Os 0.000 0.500 0.500
16 Ru 0.000 0.500 0.000

Results
* electronic total energy: -8.03 eV per atom
* volume: 467.9 Å³/f.u.
* formation energy (no corrections): -0.852 eV per atom
* symmetry: R-3m, No. 166

Below is an optimized crystal structure of PrZn2Pt, with properties calculated at the PBE level.

a b c (Å): 5.515 7.083 16.315
angles (deg): 90.00 90.00 90.00
Positions (direct):
1 Pr 0.465 0.250 0.146
2 Pr 0.965 0.750 0.354
3 Pr 0.535 0.750 0.854
4 Pr 0.035 0.250 0.646
5 Pr 0.700 0.250 0.399
6 Pr 0.200 0.750 0.101
7 Pr 0.300 0.750 0.601
8 Pr 0.800 0.250 0.899
9 Zn 0.937 0.058 0.214
10 Zn 0.437 0.942 0.286
11 Zn 0.063 0.558 0.786
12 Zn 0.563 0.442 0.714
13 Zn 0.063 0.942 0.786
14 Zn 0.563 0.058 0.714
15 Zn 0.937 0.442 0.214
16 Zn 0.437 0.558 0.286
17 Zn 0.720 0.559 0.035
18 Zn 0.220 0.441 0.465
19 Zn 0.280 0.059 0.965
20 Zn 0.780 0.941 0.535
21 Zn 0.280 0.441 0.965
22 Zn 0.780 0.559 0.535
23 Zn 0.720 0.941 0.035
24 Zn 0.220 0.059 0.465
25 Pt 0.195 0.250 0.320
26 Pt 0.695 0.750 0.180
27 Pt 0.805 0.750 0.680
28 Pt 0.305 0.250 0.820
29 Pt 0.989 0.250 0.072
30 Pt 0.489 0.750 0.428
31 Pt 0.011 0.750 0.928
32 Pt 0.511 0.250 0.572

Results
* electronic total energy: -4.02 eV per atom
* volume: 79.7 Å³/f.u.
* symmetry: Pnma, No. 62
* energy relative to the elements: -675 meV/atom

Please write out number 2 again, unchanged.
Below is an optimized crystal structure of ZnMoPt2, with properties calculated at the PBE level.

a b c (Å): 4.756 4.756 4.908
angles (deg): 81.61 81.61 33.88
Positions (direct):
1 Mo 0.250 0.250 0.250
2 Pt 0.000 0.000 0.003
3 Pt 0.500 0.500 0.497
4 Zn 0.750 0.750 0.750

Results
* electronic total energy: -6.23 eV per atom
* volume: 61.2 Å³/f.u.
* symmetry: C2/m, No. 12
* energy relative to the elements: -184 meV/atom

> Which of these has the lowest electronic total energy?

Th8Te4Os3Ru

> What is the volume in the first record?

129.4 Å³/f.u.

> Look up the electronic total energy of the third one.

-8.03 eV per atom